(1)
Ti2BPb: relaxed, GGA-PBE.

Properties
N(E_F) = 7.58 states/eV per cell
polymorph energy (0 for the lowest one) = 41.1 kJ/mol of atoms
symmetry = Fm-3m
formation energy = 2.47 eV per formula unit
raw total energy = -5.927 eV per atom
spin magnetization = 0.6 Bohr magnetons per cell

a b c (Å): 4.529 4.529 4.529
angles (deg): 60.00 60.00 60.00
Atoms (fractional coordinates):
Pb 0.500 0.500 0.500
B 0.000 0.000 0.000
Ti 0.250 0.250 0.250
Ti 0.750 0.750 0.750

(2)
Ti3AuN: relaxed, GGA-PBE.

Properties
N(E_F) = 9.57 states/eV per cell
symmetry = R-3c
raw total energy = -7.400 eV per atom
spin magnetization = 0.0 Bohr magnetons per cell
formation energy without anion corrections = -0.3421 eV per atom

a b c (Å): 5.364 5.364 5.364
angles (deg): 89.24 89.24 89.24
Atoms (fractional coordinates):
N 0.250 0.250 0.250
N 0.750 0.750 0.750
Au 0.000 0.000 0.000
Au 0.500 0.500 0.500
Ti 0.998 0.502 0.250
Ti 0.502 0.250 0.998
Ti 0.250 0.998 0.502
Ti 0.750 0.002 0.498
Ti 0.498 0.750 0.002
Ti 0.002 0.498 0.750

(3)
BaMn: relaxed, GGA-PBE.

Properties
N(E_F) = 5.51 states/eV per cell
symmetry = P4/nmm
formation energy = 1.61 eV per formula unit
raw total energy = -4.742 eV per atom
spin magnetization = 0.9 Bohr magnetons per cell

a b c (Å): 3.320 3.320 9.688
angles (deg): 90.00 90.00 90.00
Atoms (fractional coordinates):
Ba 0.000 0.000 0.086
Ba 0.500 0.500 0.664
Mn 0.000 0.000 0.395
Mn 0.500 0.500 0.355

(4)
CdSiRu2: relaxed, GGA-PBE.

Properties
N(E_F) = 3.62 states/eV per cell
symmetry = Pmmm
raw total energy = -5.849 eV per atom
spin magnetization = 0.0 Bohr magnetons per cell
formation energy without anion corrections = 0.3734 eV per atom

a b c (Å): 2.930 4.867 4.321
angles (deg): 90.00 90.00 90.00
Atoms (fractional coordinates):
Cd 0.000 0.500 0.500
Ru 0.000 0.000 0.000
Ru 0.500 0.500 0.000
Si 0.500 0.000 0.500

(5)
K2TmScSe4: relaxed, GGA-PBE.

Properties
N(E_F) = 0.00 states/eV per cell
symmetry = P2/m
raw total energy = -5.049 eV per atom
spin magnetization = 0.0 Bohr magnetons per cell
formation energy without anion corrections = -1.6823 eV per atom

a b c (Å): 4.091 7.081 8.001
angles (deg): 107.17 90.00 90.00
Atoms (fractional coordinates):
K 0.500 0.000 0.500
K 0.000 0.500 0.500
Tm 0.500 0.500 0.000
Sc 0.000 0.000 0.000
Se 0.500 0.225 0.197
Se 0.500 0.775 0.803
Se 0.000 0.258 0.799
Se 0.000 0.742 0.201

(6)
La12PmIn6: relaxed, GGA-PBE.

Properties
N(E_F) = 22.05 states/eV per cell
symmetry = R-3
formation energy = -5.12 eV per formula unit
raw total energy = -4.496 eV per atom
spin magnetization = 0.0 Bohr magnetons per cell

a b c (Å): 8.489 8.489 8.489
angles (deg): 89.68 89.68 89.68
Atoms (fractional coordinates):
La 0.817 0.528 0.436
La 0.436 0.817 0.528
La 0.528 0.436 0.817
La 0.183 0.472 0.564
La 0.564 0.183 0.472
La 0.472 0.564 0.183
La 0.055 0.151 0.390
La 0.849 0.610 0.945
La 0.610 0.945 0.849
La 0.945 0.849 0.610
La 0.151 0.390 0.055
La 0.390 0.055 0.151
Pm 0.000 0.000 0.000
In 0.733 0.879 0.255
In 0.745 0.267 0.121
In 0.121 0.745 0.267
In 0.267 0.121 0.745
In 0.255 0.733 0.879
In 0.879 0.255 0.733

(7)
Y3HPb: relaxed, GGA-PBE.

Properties
N(E_F) = 14.81 states/eV per cell
polymorph energy (0 for the lowest one) = 44.2 kJ/mol of atoms
symmetry = Fd-3m
raw total energy = -5.292 eV per atom
spin magnetization = 5.5 Bohr magnetons per cell

a b c (Å): 9.192 9.192 9.192
angles (deg): 60.00 60.00 60.00
Atoms (fractional coordinates):
Pb 0.625 0.625 0.625
Pb 0.625 0.125 0.625
Pb 0.125 0.625 0.625
Pb 0.625 0.625 0.125
Y 0.805 0.195 0.195
Y 0.055 0.445 0.445
Y 0.445 0.445 0.055
Y 0.445 0.055 0.055
Y 0.055 0.445 0.055
Y 0.805 0.195 0.805
Y 0.445 0.055 0.445
Y 0.055 0.055 0.445
Y 0.195 0.805 0.195
Y 0.195 0.805 0.805
Y 0.195 0.195 0.805
Y 0.805 0.805 0.195
H 0.125 0.125 0.125
H 0.125 0.625 0.125
H 0.625 0.125 0.125
H 0.125 0.125 0.625

(8)
Tl6Hg6Pb: relaxed, GGA-PBE.

Properties
N(E_F) = 4.80 states/eV per cell
symmetry = Cmmm
formation energy = 0.64 eV per formula unit
raw total energy = -1.467 eV per atom
spin magnetization = 0.0 Bohr magnetons per cell

a b c (Å): 6.363 6.363 10.618
angles (deg): 90.00 90.00 114.50
Atoms (fractional coordinates):
Tl 0.000 0.000 0.678
Tl 0.000 0.000 0.322
Tl 0.347 0.653 0.000
Tl 0.653 0.347 0.000
Tl 0.280 0.720 0.500
Tl 0.720 0.280 0.500
Hg 0.000 0.500 0.771
Hg 0.500 0.000 0.771
Hg 0.500 0.500 0.703
Hg 0.500 0.000 0.229
Hg 0.000 0.500 0.229
Hg 0.500 0.500 0.297
Pb 0.000 0.000 0.000

(9)
NbMoRh5: relaxed, GGA-PBE.

Properties
N(E_F) = 7.03 states/eV per cell
symmetry = P4/mmm
formation energy = -0.73 eV per formula unit
raw total energy = -8.341 eV per atom
spin magnetization = 0.0 Bohr magnetons per cell

a b c (Å): 3.962 3.962 7.111
angles (deg): 90.00 90.00 90.00
Atoms (fractional coordinates):
Nb 0.000 0.000 0.500
Mo 0.500 0.500 0.000
Rh 0.000 0.500 0.772
Rh 0.000 0.500 0.228
Rh 0.500 0.000 0.772
Rh 0.500 0.000 0.228
Rh 0.500 0.500 0.500

(10)
Sm6Dy8Pu: relaxed, GGA-PBE.

Properties
N(E_F) = 20.21 states/eV per cell
symmetry = R-3
formation energy = 1.72 eV per formula unit
raw total energy = -5.183 eV per atom
spin magnetization = 6.4 Bohr magnetons per cell

a b c (Å): 8.611 8.611 8.611
angles (deg): 63.54 63.54 63.54
Atoms (fractional coordinates):
Sm 0.891 0.455 0.777
Sm 0.223 0.109 0.545
Sm 0.545 0.223 0.109
Sm 0.455 0.777 0.891
Sm 0.777 0.891 0.455
Sm 0.109 0.545 0.223
Dy 0.111 0.718 0.752
Dy 0.248 0.889 0.282
Dy 0.282 0.248 0.889
Dy 0.576 0.576 0.576
Dy 0.424 0.424 0.424
Dy 0.718 0.752 0.111
Dy 0.752 0.111 0.718
Dy 0.889 0.282 0.248
Pu 0.000 0.000 0.000

(11)
NdPuRu2: relaxed, GGA-PBE.

Properties
N(E_F) = 6.58 states/eV per cell
symmetry = P4/mmm
formation energy = -0.55 eV per formula unit
raw total energy = -9.549 eV per atom
spin magnetization = 3.8 Bohr magnetons per cell

a b c (Å): 3.365 3.365 7.234
angles (deg): 90.00 90.00 90.00
Atoms (fractional coordinates):
Ru 0.000 0.000 0.787
Ru 0.000 0.000 0.213
Nd 0.500 0.500 0.500
Pu 0.500 0.500 0.000

(12)
Mg2ZrCu: relaxed, GGA-PBE.

Properties
N(E_F) = 2.38 states/eV per cell
symmetry = Pm
formation energy = 0.10 eV per formula unit
raw total energy = -3.934 eV per atom
spin magnetization = 0.0 Bohr magnetons per cell

a b c (Å): 4.398 2.958 6.154
angles (deg): 75.93 90.00 90.00
Atoms (fractional coordinates):
Cu 0.500 0.945 0.732
Mg 0.000 0.813 0.997
Mg 0.500 0.195 0.237
Zr 0.000 0.546 0.533

Please write out number 10 again, unchanged.
Sm6Dy8Pu: relaxed, GGA-PBE.

Properties
N(E_F) = 20.21 states/eV per cell
symmetry = R-3
formation energy = 1.72 eV per formula unit
raw total energy = -5.183 eV per atom
spin magnetization = 6.4 Bohr magnetons per cell

a b c (Å): 8.611 8.611 8.611
angles (deg): 63.54 63.54 63.54
Atoms (fractional coordinates):
Sm 0.891 0.455 0.777
Sm 0.223 0.109 0.545
Sm 0.545 0.223 0.109
Sm 0.455 0.777 0.891
Sm 0.777 0.891 0.455
Sm 0.109 0.545 0.223
Dy 0.111 0.718 0.752
Dy 0.248 0.889 0.282
Dy 0.282 0.248 0.889
Dy 0.576 0.576 0.576
Dy 0.424 0.424 0.424
Dy 0.718 0.752 0.111
Dy 0.752 0.111 0.718
Dy 0.889 0.282 0.248
Pu 0.000 0.000 0.000